1.
This record from the Open Quantum Materials Database describes a relaxed CdCoSO crystal. The functional is PBE+U.

Output
- Energy above the most stable polymorph in this dataset: 508 meV per atom
- V: 17.298 A^3/atom

a = 6.462 Å, b = 6.673 Å, c = 12.838 Å
α = 90.00°, β = 90.00°, γ = 90.00°
Last column: magnetic moment on the atom in μB.
Sites, in units of the cell vectors:
S  0.746  0.979  0.039  0.05
Cd  0.556  0.754  0.422  0.01
Cd  0.444  0.246  0.578  0.01
O  0.091  0.246  0.254  0.16
S  0.746  0.521  0.539  0.05
S  0.754  0.021  0.539  0.05
O  0.409  0.754  0.754  0.17
O  0.909  0.754  0.746  0.16
Co  0.148  0.587  0.789  2.64
S  0.254  0.479  0.461  0.05
Co  0.648  0.587  0.711  2.64
Cd  0.944  0.254  0.422  0.01
S  0.246  0.521  0.961  0.05
Cd  0.556  0.746  0.922  0.01
Cd  0.444  0.254  0.078  0.01
S  0.254  0.021  0.961  0.05
O  0.909  0.746  0.246  0.16
Cd  0.056  0.754  0.078  0.01
Co  0.352  0.413  0.289  2.64
Cd  0.944  0.246  0.922  0.01
Cd  0.056  0.746  0.578  0.01
Co  0.648  0.913  0.211  2.64
O  0.409  0.746  0.254  0.16
O  0.591  0.246  0.246  0.17
Co  0.148  0.913  0.289  2.64
Co  0.852  0.413  0.211  2.64
O  0.091  0.254  0.754  0.16
S  0.754  0.479  0.039  0.05
Co  0.852  0.087  0.711  2.64
Co  0.352  0.087  0.789  2.64
S  0.246  0.979  0.461  0.05
O  0.591  0.254  0.746  0.16

2.
This record from the Open Quantum Materials Database describes a relaxed CdCoSO crystal. The functional is PBE+U.

Output
- Energy above the most stable polymorph in this dataset: 263 meV per atom
- V: 16.657 A^3/atom

a = 5.650 Å, b = 3.647 Å, c = 12.935 Å
α = 90.00°, β = 90.00°, γ = 90.00°
Sites, in units of the cell vectors:
S  0.763  0.750  0.081
Co  0.345  0.750  0.814
O  0.192  0.750  0.682
Cd  0.228  0.750  0.083
O  0.808  0.250  0.318
Co  0.655  0.250  0.186
O  0.692  0.750  0.818
S  0.237  0.250  0.919
Co  0.155  0.250  0.314
Co  0.845  0.750  0.686
O  0.308  0.250  0.182
Cd  0.728  0.750  0.417
Cd  0.272  0.250  0.583
S  0.263  0.750  0.419
Cd  0.772  0.250  0.917
S  0.737  0.250  0.581

3.
This record from the Open Quantum Materials Database describes a relaxed CdCoSO crystal. The functional is PBE+U.

Output
- Energy above the most stable polymorph in this dataset: 967 meV per atom
- V: 15.480 A^3/atom

a = 3.953 Å, b = 3.953 Å, c = 7.926 Å
α = 90.00°, β = 90.00°, γ = 90.00°
Sites, in units of the cell vectors:
S  0.250  0.250  0.314
O  0.250  0.250  0.506
Co  0.250  0.250  0.750
Cd  0.750  0.250  0.000
Cd  0.250  0.750  0.000
S  0.750  0.750  0.686
Co  0.750  0.750  0.250
O  0.750  0.750  0.494

4.
This record from the Open Quantum Materials Database describes a relaxed CdCoSO crystal. The functional is PBE+U.

Output
- Energy above the most stable polymorph in this dataset: 305 meV per atom
- V: 18.122 A^3/atom

a = 5.756 Å, b = 6.723 Å, c = 7.492 Å
α = 90.00°, β = 90.00°, γ = 90.00°
Last column: magnetic moment on the atom in μB.
Sites, in units of the cell vectors:
S  0.003  0.369  0.648  0.08
O  0.032  0.233  0.116  0.13
S  0.997  0.869  0.852  0.08
Co  0.645  0.811  0.395  2.61
Co  0.355  0.311  0.105  2.61
O  0.468  0.767  0.616  0.13
O  0.968  0.733  0.384  0.14
Cd  0.653  0.601  0.826  0.01
Cd  0.847  0.399  0.326  0.02
O  0.532  0.267  0.884  0.13
Cd  0.153  0.899  0.174  0.02
Co  0.145  0.689  0.605  2.61
S  0.503  0.131  0.352  0.08
Co  0.855  0.189  0.895  2.61
S  0.497  0.631  0.148  0.08
Cd  0.347  0.101  0.674  0.02

5.
This record from the Open Quantum Materials Database describes a relaxed CdCoSO crystal. The functional is PBE+U.

Output
- Energy above the most stable polymorph in this dataset: 742 meV per atom
- V: 15.759 A^3/atom

a = 3.858 Å, b = 3.858 Å, c = 8.469 Å
α = 90.00°, β = 90.00°, γ = 90.00°
Sites, in units of the cell vectors:
Co  0.250  0.250  0.342
Co  0.750  0.750  0.658
Cd  0.750  0.750  0.140
S  0.750  0.250  0.500
Cd  0.250  0.250  0.860
S  0.250  0.750  0.500
O  0.750  0.750  0.880
O  0.250  0.250  0.120

6.
This record from the Open Quantum Materials Database describes a relaxed CdCoSO crystal. The functional is PBE+U.

Output
- Energy above the most stable polymorph in this dataset: 501 meV per atom
- V: 15.592 A^3/atom

a = 6.243 Å, b = 6.243 Å, c = 5.869 Å
α = 90.00°, β = 90.00°, γ = 33.05°
Last column: magnetic moment on the atom in μB.
Sites, in units of the cell vectors:
O  0.000  0.000  0.500  0.15
S  0.274  0.274  0.750  0.09
Cd  0.394  0.394  0.250  0.02
Cd  0.606  0.606  0.750  0.02
S  0.726  0.726  0.250  0.09
Co  0.893  0.893  0.750  2.56
Co  0.107  0.107  0.250  2.56
O  0.000  0.000  0.000  0.15

7.
This record from the Open Quantum Materials Database describes a relaxed CdCoSO crystal. The functional is PBE+U.

Output
- Energy above the most stable polymorph in this dataset: 605 meV per atom
- V: 14.663 A^3/atom

a = 5.476 Å, b = 6.959 Å, c = 6.959 Å
α = 26.25°, β = 90.00°, γ = 90.00°
Last column: magnetic moment on the atom in μB.
Sites, in units of the cell vectors:
Co  0.000  0.555  0.555  2.59
S  0.000  0.192  0.192  0.05
S  0.500  0.808  0.808  0.05
O  0.250  0.000  0.000  0.15
Cd  0.000  0.851  0.851  0.02
Co  0.500  0.445  0.445  2.59
Cd  0.500  0.149  0.149  0.02
O  0.750  0.000  0.000  0.15

8.
This record from the Open Quantum Materials Database describes a relaxed CdCoSO crystal. The functional is PBE+U.

Output
- Energy above the most stable polymorph in this dataset: 639 meV per atom
- V: 15.399 A^3/atom

a = 3.396 Å, b = 3.396 Å, c = 10.680 Å
α = 90.00°, β = 90.00°, γ = 90.00°
Sites, in units of the cell vectors:
O  0.250  0.250  0.391
Cd  0.250  0.250  0.609
Co  0.250  0.750  0.000
S  0.250  0.250  0.120
Cd  0.750  0.750  0.391
Co  0.750  0.250  0.000
S  0.750  0.750  0.880
O  0.750  0.750  0.609

Q: Which spin magnetization values were calculated for the entries above? A: 3.00 3.00 1.60 3.00 2.45 2.96 2.91 0.34, in μB per formula unit.